No. 1
Crystalline GaB3Rh at its relaxed geometry. Source: Alexandria, functional GGA-PBE.

Values from the calculation:
The energy above the most stable polymorph in this dataset is 0.000 eV per atom. As for the density of states at the Fermi level: 4.588 states/eV per cell. For the formation energy, the calculation gives 5.19 eV/f.u. The spin magnetization is 0.00 μB/cell.

Lattice parameters (Å, degrees): 4.1209 4.1209 4.1209 90.00 90.00 90.00
Element x y z (fractional)
1 Ga 0.0000 0.0000 0.0000
2 B 0.0000 0.5000 0.5000
3 B 0.5000 0.0000 0.5000
4 B 0.5000 0.5000 0.0000
5 Rh 0.5000 0.5000 0.5000

***

No. 2
Crystalline GaBRh6 at its relaxed geometry. Source: Alexandria, functional GGA-PBE.

Values from the calculation:
As for the density of states at the Fermi level: 9.476 states/eV per cell. For the formation energy, the calculation gives -0.26 eV/f.u. The spin magnetization is 0.00 μB/cell.

Lattice parameters (Å, degrees): 4.9488 4.9488 4.9488 100.57 100.57 100.57
Element x y z (fractional)
1 Ga 0.0000 0.0000 0.0000
2 B 0.5000 0.5000 0.5000
3 Rh 0.2099 0.2099 0.6136
4 Rh 0.2099 0.6136 0.2099
5 Rh 0.3864 0.7901 0.7901
6 Rh 0.6136 0.2099 0.2099
7 Rh 0.7901 0.3864 0.7901
8 Rh 0.7901 0.7901 0.3864